Entry from the Alexandria database: crystalline Ho2VAg2O6 at its relaxed geometry (GGA+U).

Results
space group	C2/m

```
data_Ho2VAg2O6
_chemical_formula_sum 'Ho2 V1 Ag2 O6'
_symmetry_space_group_name_H-M 'P 1'
_symmetry_Int_Tables_number 1
_cell_length_a 5.807
_cell_length_b 5.807
_cell_length_c 6.478
_cell_angle_alpha 96.38
_cell_angle_beta 96.38
_cell_angle_gamma 121.23
loop_
_symmetry_equiv_pos_as_xyz
'x,y,z'
loop_
_atom_site_label
_atom_site_fract_x
_atom_site_fract_y
_atom_site_fract_z
Ho1 0.164 0.836 0.000
Ho2 0.836 0.164 0.000
V1 0.500 0.500 0.000
Ag1 0.347 0.653 0.500
Ag2 0.653 0.347 0.500
O1 0.175 0.175 0.854
O2 0.241 0.552 0.169
O3 0.448 0.759 0.831
O4 0.552 0.241 0.169
O5 0.759 0.448 0.831
O6 0.825 0.825 0.146
```

***

Entry from the Alexandria database: crystalline HoAgWO5 at its relaxed geometry (GGA+U).

Results
space group	C2/c

```
data_HoAgWO5
_chemical_formula_sum 'Ho2 Ag2 W2 O10'
_symmetry_space_group_name_H-M 'P 1'
_symmetry_Int_Tables_number 1
_cell_length_a 6.290
_cell_length_b 6.290
_cell_length_c 8.458
_cell_angle_alpha 109.35
_cell_angle_beta 109.35
_cell_angle_gamma 93.04
loop_
_symmetry_equiv_pos_as_xyz
'x,y,z'
loop_
_atom_site_label
_atom_site_fract_x
_atom_site_fract_y
_atom_site_fract_z
Ho1 0.000 0.000 0.000
Ho2 0.000 0.000 0.500
Ag1 0.294 0.706 0.750
Ag2 0.706 0.294 0.250
W1 0.361 0.639 0.250
W2 0.639 0.361 0.750
O1 0.061 0.939 0.750
O2 0.238 0.748 0.420
O3 0.252 0.762 0.080
O4 0.283 0.327 0.147
O5 0.327 0.283 0.647
O6 0.673 0.717 0.353
O7 0.717 0.673 0.853
O8 0.748 0.238 0.920
O9 0.762 0.252 0.580
O10 0.939 0.061 0.250
```

***

Calculated electronic total energy (eV/atom), listed in the same order as above: -6.886; -6.985
Calculated total magnetic moment (μB/f.u.), listed in the same order as above: 1.02; 0.00